# 1
Entry from Alexandria via LeMat-Bulk: a relaxed Y2TaBr crystal (PBE).

Results
- density of states at the Fermi level (states/eV per cell) = 4.4
- total energy (eV per atom) = -6.8939
- magnetic moment (μB/f.u.) = 0.0

a = 3.440 Å, b = 3.433 Å, c = 9.051 Å
α = 90.00°, β = 90.08°, γ = 90.00°
Space group P2/m (No. 10)
Symmetry-distinct sites (fractional):
Y 0.001 0.000 0.225 [2 per cell]
Ta 0.500 0.500 0.000 [1 per cell]
Br 0.000 0.500 0.500 [1 per cell]

# 2
Entry from Alexandria via LeMat-Bulk: a relaxed RbSi crystal (PBE).

Results
- total energy (eV per atom) = -2.9473
- magnetic moment (μB/f.u.) = 0.0

a = 6.463 Å, b = 11.337 Å, c = 16.931 Å
α = 90.00°, β = 90.00°, γ = 90.00°
Space group Fddd (No. 70, origin choice 2)
Symmetry-distinct sites (fractional):
Rb 0.125 0.296 0.125 [16 per cell]
Si 0.125 0.125 0.561 [16 per cell]

# 3
Entry from Alexandria via LeMat-Bulk: a relaxed PmY5Tm5 crystal (PBE).

Results
- formation energy from the elements (eV per atom) = 0.2858
- density of states at the Fermi level (states/eV per cell) = 35.4
- magnetic moment (μB/f.u.) = 0.7

a = 18.829 Å, b = 5.873 Å, c = 6.925 Å
α = 90.00°, β = 111.16°, γ = 90.00°
Space group C2/m (No. 12)
Symmetry-distinct sites (fractional):
Pm 0.000 0.000 0.000 [2 per cell]
Y 0.000 0.500 0.000 [2 per cell]
Y 0.180 0.000 0.426 [4 per cell]
Y 0.180 0.000 0.934 [4 per cell]
Tm 0.000 0.000 0.500 [2 per cell]
Tm 0.123 0.500 0.625 [4 per cell]
Tm 0.168 0.500 0.170 [4 per cell]

# 4
Entry from Alexandria via LeMat-Bulk: a relaxed Co2AuSe crystal (PBE).

Results
- density of states at the Fermi level (states/eV per cell) = 9.1
- total energy (eV per atom) = -4.8747
- magnetic moment (μB/f.u.) = 2.6

a = 3.878 Å, b = 4.607 Å, c = 6.587 Å
α = 90.00°, β = 90.00°, γ = 90.00°
Space group Immm (No. 71)
Symmetry-distinct sites (fractional):
Co 0.000 0.000 0.208 [4 per cell]
Au 0.000 0.500 0.000 [2 per cell]
Se 0.000 0.500 0.500 [2 per cell]